DFT (PBE with a Hubbard U) results for a relaxed ZnCo4O9 crystal.

```
ZnCo4O9
1.0
8.190 0.000 0.000
0.000 5.049 0.000
-7.696 0.000 8.234
Zn Co O
2 8 18
direct
0.000 0.206 0.250 Zn
0.000 0.794 0.750 Zn
0.169 0.329 0.653 Co
0.169 0.671 0.153 Co
0.390 0.439 0.051 Co
0.390 0.561 0.551 Co
0.610 0.439 0.449 Co
0.610 0.561 0.949 Co
0.831 0.329 0.847 Co
0.831 0.671 0.347 Co
0.110 0.440 0.456 O
0.110 0.560 0.956 O
0.126 0.023 0.689 O
0.126 0.977 0.189 O
0.317 0.474 0.361 O
0.317 0.526 0.861 O
0.375 0.122 0.060 O
0.375 0.878 0.560 O
0.500 0.428 0.750 O
0.500 0.572 0.250 O
0.625 0.122 0.440 O
0.625 0.878 0.940 O
0.683 0.474 0.139 O
0.683 0.526 0.639 O
0.874 0.023 0.811 O
0.874 0.977 0.311 O
0.890 0.440 0.044 O
0.890 0.560 0.544 O
```

Values from the calculation:
Symmetry: P2/c, No. 13
Relative energy among the computed polymorphs, eV/atom: 0.000